# PBE CaTlSb2I, relaxed
# distance to the lowest polymorph of the same formula = 0.0 meV/atom
# ΔE_f (raw) = 0.061 eV per atom
# calculated volume = 42.38 Å³ per atom
# M_tot = 0.182 μB per cell
data_CaTlSb2I
_space_group_name_H-M_alt 'P 4/m m m'
_space_group_IT_number 123
_space_group_name_Hall '-P 4 2'
_cell_length_a 5.895
_cell_length_b 5.895
_cell_length_c 6.098
_cell_angle_alpha 90.00
_cell_angle_beta 90.00
_cell_angle_gamma 90.00
loop_
_atom_site_label
_atom_site_type_symbol
_atom_site_fract_x
_atom_site_fract_y
_atom_site_fract_z
Ca1 Ca 0.000 0.000 0.000
Tl1 Tl 0.500 0.500 0.500
Sb1 Sb 0.000 0.500 0.000
I1 I 0.000 0.000 0.500